Record 1
Entry from the Alexandria database: a relaxed structure of Na2PbSeO4 (PBE).

Computed properties:
Crystal system = tetragonal
Calculated total energy = -4.717 eV/atom
ΔE_f (raw) = -97 kJ per mole of atoms
Space-group type = No. 82

a = 6.246 Å, b = 6.246 Å, c = 6.246 Å
α = 128.90°, β = 128.90°, γ = 75.17°
Element x y z (fractional)
Na: 0.000 0.000 0.000
Na: 0.750 0.250 0.500
Pb: 0.500 0.500 0.000
Se: 0.250 0.750 0.500
O: 0.139 0.064 0.487
O: 0.348 0.861 0.926
O: 0.578 0.652 0.513
O: 0.936 0.422 0.074

Record 2
Entry from the Alexandria database: a relaxed structure of CrSnCl4 (PBE).

Computed properties:
Crystal system = monoclinic
Calculated total energy = -4.407 eV/atom
ΔE_f (raw) = -87 kJ per mole of atoms
D(E_F) = 3.6 states/eV/f.u.
Space-group type = No. 10

a = 6.584 Å, b = 4.004 Å, c = 6.962 Å
α = 90.00°, β = 108.95°, γ = 90.00°
Element x y z (fractional)
Cr: 0.000 0.000 0.000
Sn: 0.000 0.500 0.500
Cl: 0.218 0.500 0.208
Cl: 0.226 0.000 0.786
Cl: 0.774 0.000 0.214
Cl: 0.782 0.500 0.792

Record 3
Entry from the Alexandria database: a relaxed structure of YAgAu3 (PBE).

Computed properties:
Crystal system = monoclinic
Calculated total energy = -4.347 eV/atom
Energy of formation = -0.5172 eV/atom
D(E_F) = 1.4 states/eV/f.u.
Space-group type = No. 11

a = 5.212 Å, b = 5.057 Å, c = 7.962 Å
α = 90.00°, β = 108.67°, γ = 90.00°
Element x y z (fractional)
Y: 0.076 0.250 0.301
Y: 0.924 0.750 0.699
Ag: 0.299 0.250 0.715
Ag: 0.701 0.750 0.285
Au: 0.119 0.750 0.101
Au: 0.319 0.750 0.500
Au: 0.474 0.250 0.098
Au: 0.526 0.750 0.902
Au: 0.681 0.250 0.500
Au: 0.881 0.250 0.899

Record 4
Entry from the Alexandria database: a relaxed structure of Y2ScI (PBE).

Computed properties:
Crystal system = cubic
Calculated total energy = -5.071 eV/atom
ΔE_f (raw) = 13 kJ per mole of atoms
D(E_F) = 7.9 states/eV/f.u.
Space-group type = No. 225

a = 5.498 Å, b = 5.498 Å, c = 5.498 Å
α = 60.00°, β = 60.00°, γ = 60.00°
Element x y z (fractional)
Y: 0.250 0.250 0.250
Y: 0.750 0.750 0.750
Sc: 0.000 0.000 0.000
I: 0.500 0.500 0.500

Record 5
Entry from the Alexandria database: a relaxed structure of PmSnH (PBE).

Computed properties:
Crystal system = tetragonal
Calculated total energy = -4.391 eV/atom
D(E_F) = 1.8 states/eV/f.u.
Space-group type = No. 107

a = 6.231 Å, b = 6.231 Å, c = 6.231 Å
α = 149.35°, β = 149.35°, γ = 43.90°
Element x y z (fractional)
Pm: 0.000 0.000 0.000
Sn: 0.282 0.282 0.000
H: 0.545 0.545 0.000

Record 6
Entry from the Alexandria database: a relaxed structure of Li4DyU3S8 (PBE).

Computed properties:
Crystal system = trigonal
Calculated total energy = -6.418 eV/atom
ΔE_f (raw) = -142 kJ per mole of atoms
D(E_F) = 12.2 states/eV/f.u.
Space-group type = No. 166

a = 7.693 Å, b = 7.693 Å, c = 7.693 Å
α = 60.36°, β = 60.36°, γ = 60.36°
Element x y z (fractional)
Li: 0.000 0.000 0.000
Li: 0.000 0.500 0.500
Li: 0.500 0.000 0.500
Li: 0.500 0.500 0.000
Dy: 0.500 0.500 0.500
U: 0.000 0.000 0.500
U: 0.000 0.500 0.000
U: 0.500 0.000 0.000
S: 0.248 0.248 0.748
S: 0.248 0.748 0.248
S: 0.252 0.752 0.752
S: 0.253 0.253 0.253
S: 0.747 0.747 0.747
S: 0.748 0.248 0.248
S: 0.752 0.252 0.752
S: 0.752 0.752 0.252

Record 7
Entry from the Alexandria database: a relaxed structure of PrGa10Pd2 (PBE).

Computed properties:
Crystal system = orthorhombic
Calculated total energy = -3.831 eV/atom
Energy of formation = -0.3363 eV/atom
D(E_F) = 4.7 states/eV/f.u.
Space-group type = No. 69

a = 9.170 Å, b = 7.290 Å, c = 6.861 Å
α = 80.72°, β = 51.69°, γ = 47.60°
Element x y z (fractional)
Pr: 0.000 0.000 0.000
Ga: 0.000 0.000 0.500
Ga: 0.012 0.353 0.647
Ga: 0.279 0.496 0.504
Ga: 0.353 0.012 0.988
Ga: 0.496 0.279 0.721
Ga: 0.500 0.500 0.000
Ga: 0.504 0.721 0.279
Ga: 0.647 0.988 0.012
Ga: 0.721 0.504 0.496
Ga: 0.988 0.647 0.353
Pd: 0.000 0.500 0.000
Pd: 0.500 0.000 0.500

Record 8
Entry from the Alexandria database: a relaxed structure of CdRhCl2 (PBE).

Computed properties:
Crystal system = orthorhombic
Calculated total energy = -3.353 eV/atom
ΔE_f (raw) = -35 kJ per mole of atoms
D(E_F) = 0.3 states/eV/f.u.
Space-group type = No. 65

a = 6.374 Å, b = 6.374 Å, c = 3.490 Å
α = 90.00°, β = 90.00°, γ = 129.38°
Element x y z (fractional)
Cd: 0.000 0.000 0.000
Rh: 0.500 0.500 0.000
Cl: 0.362 0.638 0.500
Cl: 0.638 0.362 0.500

Record 9
Entry from the Alexandria database: a relaxed structure of Mn2HgSb (PBE).

Computed properties:
Crystal system = tetragonal
Calculated total energy = -5.143 eV/atom
ΔE_f (raw) = 53 kJ per mole of atoms
D(E_F) = 3.5 states/eV/f.u.
Space-group type = No. 122

a = 9.619 Å, b = 9.619 Å, c = 9.619 Å
α = 153.24°, β = 153.24°, γ = 38.21°
Element x y z (fractional)
Mn: 0.117 0.625 0.992
Mn: 0.375 0.367 0.492
Mn: 0.633 0.125 0.008
Mn: 0.875 0.883 0.508
Hg: 0.250 0.750 0.500
Hg: 0.500 0.500 0.000
Sb: 0.000 0.000 0.000
Sb: 0.750 0.250 0.500

Record 10
Entry from the Alexandria database: a relaxed structure of Gd2TmPt (PBE).

Computed properties:
Crystal system = tetragonal
Calculated total energy = -10.215 eV/atom
Energy of formation = -0.5468 eV/atom
D(E_F) = 5.7 states/eV/f.u.
Space-group type = No. 123

a = 3.614 Å, b = 3.614 Å, c = 8.246 Å
α = 90.00°, β = 90.00°, γ = 90.00°
Element x y z (fractional)
Gd: 0.000 0.000 0.201
Gd: 0.000 0.000 0.799
Tm: 0.500 0.500 0.500
Pt: 0.500 0.500 0.000

Record 11
Entry from the Alexandria database: a relaxed structure of NaTaNbRu2 (PBE).

Computed properties:
Crystal system = tetragonal
Calculated total energy = -6.689 eV/atom
Energy of formation = 1.6700 eV/atom
D(E_F) = 4.5 states/eV/f.u.
Space-group type = No. 123

a = 4.643 Å, b = 4.643 Å, c = 4.874 Å
α = 90.00°, β = 90.00°, γ = 90.00°
Element x y z (fractional)
Na: 0.000 0.000 0.000
Ta: 0.000 0.000 0.500
Nb: 0.500 0.500 0.000
Ru: 0.000 0.500 0.500
Ru: 0.500 0.000 0.500

Record 12
Entry from the Alexandria database: a relaxed structure of ReAg2Hg (PBE).

Computed properties:
Crystal system = orthorhombic
Calculated total energy = -4.097 eV/atom
Energy of formation = 0.5164 eV/atom
D(E_F) = 2.0 states/eV/f.u.
Space-group type = No. 65

a = 2.811 Å, b = 2.811 Å, c = 10.130 Å
α = 90.00°, β = 90.00°, γ = 116.64°
Element x y z (fractional)
Re: 0.000 0.000 0.000
Ag: 0.500 0.500 0.239
Ag: 0.500 0.500 0.761
Hg: 0.000 0.000 0.500

Record 13
Entry from the Alexandria database: a relaxed structure of LiReAu2Br (PBE).

Computed properties:
Crystal system = tetragonal
Calculated total energy = -3.879 eV/atom
ΔE_f (raw) = 62 kJ per mole of atoms
D(E_F) = 4.4 states/eV/f.u.
Space-group type = No. 123

a = 5.251 Å, b = 5.251 Å, c = 4.728 Å
α = 90.00°, β = 90.00°, γ = 90.00°
Element x y z (fractional)
Li: 0.000 0.000 0.000
Re: 0.500 0.500 0.500
Au: 0.000 0.500 0.500
Au: 0.500 0.000 0.500
Br: 0.500 0.500 0.000

Record 14
Entry from the Alexandria database: a relaxed structure of ErCd2Ga (PBE).

Computed properties:
Crystal system = trigonal
Calculated total energy = -2.182 eV/atom
Energy of formation = 0.1733 eV/atom
D(E_F) = 2.5 states/eV/f.u.
Space-group type = No. 166

a = 11.104 Å, b = 11.104 Å, c = 11.104 Å
α = 16.76°, β = 16.76°, γ = 16.76°
Element x y z (fractional)
Er: 0.000 0.000 0.000
Cd: 0.094 0.094 0.094
Cd: 0.906 0.906 0.906
Ga: 0.500 0.500 0.500

Record 15
Entry from the Alexandria database: a relaxed structure of RbLiAuSe (PBE).

Computed properties:
Crystal system = tetragonal
Calculated total energy = -3.169 eV/atom
ΔE_f (raw) = -73 kJ per mole of atoms
D(E_F) = 0.8 states/eV/f.u.
Space-group type = No. 129

a = 4.003 Å, b = 4.003 Å, c = 13.272 Å
α = 90.00°, β = 90.00°, γ = 90.00°
Element x y z (fractional)
Rb: 0.250 0.250 0.241
Rb: 0.750 0.750 0.759
Li: 0.250 0.750 0.500
Li: 0.750 0.250 0.500
Au: 0.250 0.750 0.000
Au: 0.750 0.250 0.000
Se: 0.250 0.250 0.619
Se: 0.750 0.750 0.381